Crystalline ZnCo3F at its relaxed geometry, computed with GGA+U.

Unit cell a=4.544 b=4.544 c=4.544 alpha=90.00 beta=90.00 gamma=90.00
Fractional positions:
Co 0.000 0.500 0.000
Co 0.000 0.000 0.500
Co 0.500 0.000 0.000
F 0.500 0.500 0.500
Zn 0.000 0.000 0.000

Distance to the lowest polymorph of the same formula = 0.943 eV per atom
DOS at the Fermi energy = 2.85 states/eV/cell
Total magnetic moment = 6.51 μB/f.u.